1.
The following is a DFT calculation (GGA-PBEsol) of crystalline BaTa at its relaxed geometry.

Cell: 3.4741 3.4741 11.2095 Å, 90.00 90.00 120.00°
Fractional positions:
Ba (0.3333, 0.6667, 0.1728)
Ba (0.6667, 0.3333, 0.8272)
Ta (0.3333, 0.6667, 0.5791)
Ta (0.6667, 0.3333, 0.4209)

## Properties
The value obtained for the energy above the lowest structure with this stoichiometry is 0 meV per atom. Its size of the total moment is 0.0 μB/cell. Its energy of formation from the pure elements is 879 meV/atom.


2.
The following is a DFT calculation (GGA-PBEsol) of crystalline Ag2SbAu at its relaxed geometry.

Cell: 5.0262 5.0262 5.0797 Å, 98.91 98.91 36.38°
Fractional positions:
Ag (0.0000, 0.0000, 0.0000)
Ag (0.7472, 0.7472, 0.2358)
Sb (0.5022, 0.5022, 0.5003)
Au (0.2540, 0.2540, 0.7582)

## Properties
Its size of the total moment is 0.0 μB/cell. The raw total energy is -3.73 eV per atom.


3.
The following is a DFT calculation (GGA-PBEsol) of crystalline CrNi2Ir at its relaxed geometry.

Cell: 4.4370 4.4370 4.4370 Å, 132.65 132.65 69.20°
Fractional positions:
Cr (0.0000, 0.0000, 0.0000)
Ni (0.2500, 0.7500, 0.5000)
Ni (0.7500, 0.2500, 0.5000)
Ir (0.5000, 0.5000, 0.0000)

## Properties
Its size of the total moment is 1.1 μB/cell. Its energy of formation from the pure elements is -44 meV/atom.


4.
The following is a DFT calculation (GGA-PBEsol) of crystalline Li4Co3O2F6 at its relaxed geometry.

Cell: 4.9385 5.2284 5.7405 Å, 72.73 89.25 80.03°
Fractional positions:
Li (0.2412, 0.4762, 0.1329)
Li (0.2594, 0.5048, 0.6330)
Li (0.7406, 0.4952, 0.3670)
Li (0.7588, 0.5238, 0.8671)
Co (0.0012, 0.0040, 0.7813)
Co (0.5000, 0.0000, 0.0000)
Co (0.9988, 0.9960, 0.2187)
O (0.1409, 0.2470, 0.9360)
O (0.8591, 0.7530, 0.0640)
F (0.0984, 0.2405, 0.4367)
F (0.3666, 0.7089, 0.3112)
F (0.3725, 0.7302, 0.8273)
F (0.6275, 0.2698, 0.1727)
F (0.6334, 0.2911, 0.6888)
F (0.9016, 0.7595, 0.5633)

## Properties
Its size of the total moment is 9.0 μB/cell. The raw total energy is -5.54 eV per atom.


5.
The following is a DFT calculation (GGA-PBEsol) of crystalline CdNiCl2 at its relaxed geometry.

Cell: 6.0954 6.0954 6.0954 Å, 149.82 133.21 56.70°
Fractional positions:
Cd (0.0000, 0.0000, 0.0000)
Ni (0.5000, 0.5000, 0.0000)
Cl (0.3454, 0.8454, 0.5000)
Cl (0.6546, 0.1546, 0.5000)

## Properties
Its size of the total moment is 1.3 μB/cell. The raw total energy is -3.15 eV per atom.


6.
The following is a DFT calculation (GGA-PBEsol) of crystalline LaBrCl at its relaxed geometry.

Cell: 6.7902 6.7902 6.7902 Å, 149.23 149.23 44.07°
Fractional positions:
La (0.0000, 0.0000, 0.0000)
Br (0.3600, 0.3600, 0.0000)
Cl (0.6224, 0.6224, 0.0000)

## Properties
Its size of the total moment is 0.0 μB/cell. The raw total energy is -5.05 eV per atom.